# 1
Entry from Alexandria via LeMat-Bulk: a relaxed ZrAlCo crystal (GGA-PBEsol).

The total DFT energy (no corrections) is -7.4722 eV/atom. As for the space group: Amm2 (38). For the formation energy, the calculation gives -0.499 eV per atom.

a b c (Å): 5.063 5.063 8.019
angles (deg): 90.00 90.00 119.07
Atoms (fractional coordinates):
Co1 0.171 0.346 0.000
Al1 0.993 0.007 0.237
Zr1 0.334 0.666 0.712
Co2 0.833 0.167 0.500
Al2 0.993 0.007 0.763
Co3 0.654 0.829 0.000
Zr2 0.669 0.331 0.828
Zr3 0.669 0.331 0.172
Co4 0.167 0.833 0.000
Zr4 0.334 0.666 0.288
Al3 0.346 0.165 0.500
Al4 0.835 0.654 0.500



# 2
Entry from Alexandria via LeMat-Bulk: a relaxed SiHg2GeAs crystal (GGA-PBEsol).

The total DFT energy (no corrections) is -2.5835 eV/atom. As for the space group: P4/mmm (123). Its raw formation energy is 0.80 eV/atom.

a b c (Å): 4.788 5.124 5.124
angles (deg): 90.00 90.00 90.00
Atoms (fractional coordinates):
Si1 0.500 0.000 0.000
Ge1 0.500 0.500 0.500
As1 0.000 0.000 0.000
Hg1 0.000 0.000 0.500
Hg2 0.000 0.500 0.000



# 3
Entry from Alexandria via LeMat-Bulk: a relaxed NiBPdS2 crystal (GGA-PBEsol).

The total DFT energy (no corrections) is -4.3817 eV/atom. As for the space group: P4/mmm (123). Its raw formation energy is 1.20 eV/atom.

a b c (Å): 4.147 4.147 4.824
angles (deg): 90.00 90.00 90.00
Atoms (fractional coordinates):
S1 0.500 0.000 0.000
S2 0.000 0.500 0.000
Pd1 0.000 0.000 0.500
Ni1 0.000 0.000 0.000
B1 0.500 0.500 0.500



# 4
Entry from Alexandria via LeMat-Bulk: a relaxed Sr2SeI crystal (GGA-PBEsol).

The total DFT energy (no corrections) is -3.7362 eV/atom. As for the space group: Fm-3m (225). Its raw formation energy is -1.41 eV/atom.

a b c (Å): 5.495 5.495 5.495
angles (deg): 60.00 60.00 60.00
Atoms (fractional coordinates):
Sr1 0.750 0.750 0.750
Sr2 0.250 0.250 0.250
I1 0.500 0.500 0.500
Se1 0.000 0.000 0.000



Question: Look up the total DFT energy (no corrections) of the first one.
Answer: -7.4722 eV/atom